Entry from the Alexandria database: a PBEsol-optimized structure of ZrNb3Bi (meta-GGA SCAN).

Unit cell a=5.063 b=5.063 c=5.063 alpha=90.00 beta=90.00 gamma=90.00
Atoms (fractional coordinates):
Nb (0.000, 0.500, 0.000)
Nb (0.000, 0.000, 0.500)
Nb (0.500, 0.000, 0.000)
Bi (0.000, 0.000, 0.000)
Zr (0.500, 0.500, 0.500)

Density, g cm⁻³: 7.4
DOS(E_F), states/eV/f.u.: 5.71
Space-group type: No. 221
Calculated formation energy, meV/atom: 1597